Pd3Au8 (PBE, optimized geometry); offset from the most stable computed form = 0 meV per atom; density = 16.60 Mg/m³; crystal system = monoclinic; N(E_F) = 0.290 states/eV per atom; energy of formation from the pure elements = -74.4 meV/atom; magnetic moment = 0.0 Bohr magnetons per cell
1.0
4.564 -2.048 0.000
4.564 2.048 0.000
-2.830 0.000 10.142
Pd Au
3 8
Cartesian
0.000 0.000 0.000 Pd
-0.957 0.000 6.444 Pd
7.256 0.000 3.697 Pd
0.874 0.000 2.771 Au
-0.076 0.000 9.218 Au
1.795 0.000 5.523 Au
3.624 0.000 1.850 Au
2.676 0.000 8.292 Au
4.504 0.000 4.619 Au
6.376 0.000 0.924 Au
5.425 0.000 7.371 Au


Pd3Au (PBE, optimized geometry); offset from the most stable computed form = 45 meV per atom; density = 13.31 Mg/m³; crystal system = orthorhombic; N(E_F) = 2.042 states/eV per atom; energy of formation from the pure elements = -3.5 meV/atom; magnetic moment = 0.0 Bohr magnetons per cell
1.0
2.810 0.000 0.000
0.000 9.387 0.000
0.000 0.000 4.884
Pd Au
6 2
Cartesian
0.000 0.000 0.000 Pd
0.000 2.362 3.274 Pd
0.000 7.025 3.274 Pd
1.405 2.331 0.832 Pd
1.405 4.694 2.442 Pd
1.405 7.056 0.832 Pd
0.000 4.694 0.007 Au
1.405 0.000 2.449 Au


PdAu4 (PBE, optimized geometry); offset from the most stable computed form = 957 meV per atom; density = 11.88 Mg/m³; crystal system = cubic; N(E_F) = 0.723 states/eV per atom; energy of formation from the pure elements = 920.7 meV/atom; magnetic moment = 0.0 Bohr magnetons per cell
1.0
5.000 0.000 0.000
0.000 5.000 0.000
0.000 0.000 5.000
Pd Au
1 4
Cartesian
0.000 0.000 0.000 Pd
0.000 0.000 2.500 Au
0.000 2.500 0.000 Au
2.500 0.000 0.000 Au
2.500 2.500 2.500 Au


Pd3Au4 (PBE, optimized geometry); density = 15.60 Mg/m³; crystal system = orthorhombic; N(E_F) = 0.446 states/eV per atom; energy of formation from the pure elements = -74.7 meV/atom; magnetic moment = 0.0 Bohr magnetons per cell
1.0
2.868 0.000 0.000
0.000 4.054 0.000
0.000 0.000 20.266
Pd Au
6 8
Cartesian
0.000 0.000 0.000 Pd
0.000 0.000 2.885 Pd
0.000 0.000 17.381 Pd
1.434 2.027 7.248 Pd
1.434 2.027 10.133 Pd
1.434 2.027 13.018 Pd
0.000 0.000 5.818 Au
0.000 0.000 8.696 Au
0.000 0.000 11.570 Au
0.000 0.000 14.448 Au
1.434 2.027 1.437 Au
1.434 2.027 4.315 Au
1.434 2.027 15.951 Au
1.434 2.027 18.829 Au


PdAu3 (PBE, optimized geometry); density = 16.61 Mg/m³; crystal system = trigonal; N(E_F) = 0.334 states/eV per atom; energy of formation from the pure elements = -14.1 meV/atom; magnetic moment = 0.0 Bohr magnetons per cell
1.0
9.232 0.000 0.000
-4.616 7.995 0.000
0.000 0.000 2.834
Pd Au
3 9
Cartesian
0.000 0.000 0.000 Pd
0.000 5.330 1.889 Pd
4.616 2.665 0.945 Pd
-2.308 3.998 0.000 Au
0.000 2.665 0.945 Au
-2.308 6.663 0.945 Au
2.308 1.333 1.889 Au
4.616 0.000 0.000 Au
2.308 3.998 0.000 Au
2.308 6.663 0.945 Au
6.924 1.333 1.889 Au
4.616 5.330 1.889 Au


Pm8Pd2Au (PBE, optimized geometry); offset from the most stable computed form = 0 meV per atom; density = 8.21 Mg/m³; crystal system = monoclinic; N(E_F) = 0.998 states/eV per atom; energy of formation from the pure elements = -419.6 meV/atom; magnetic moment = 0.0 Bohr magnetons per cell
1.0
9.259 -2.623 0.000
9.259 2.623 0.000
-2.124 0.000 6.535
Pm Pd Au
8 2 1
Cartesian
-0.080 0.000 1.855 Pm
1.946 0.000 5.519 Pm
4.982 0.000 3.227 Pm
7.473 0.000 0.183 Pm
8.920 0.000 6.352 Pm
11.411 0.000 3.308 Pm
14.447 0.000 1.017 Pm
16.474 0.000 4.680 Pm
2.686 0.000 1.560 Pd
13.708 0.000 4.975 Pd
8.197 0.000 3.268 Au


Pm2Pd4Au3 (PBE, optimized geometry); offset from the most stable computed form = 0 meV per atom; density = 12.53 Mg/m³; crystal system = monoclinic; N(E_F) = 0.412 states/eV per atom; energy of formation from the pure elements = -654.2 meV/atom; magnetic moment = 0.0 Bohr magnetons per cell
1.0
4.665 -2.162 0.000
4.665 2.162 0.000
-2.482 0.000 8.586
Pm Pd Au
2 4 3
Cartesian
1.020 0.000 1.916 Pm
5.828 0.000 6.670 Pm
-0.666 0.000 7.675 Pd
3.004 0.000 5.711 Pd
3.845 0.000 2.875 Pd
7.515 0.000 0.911 Pd
0.093 0.000 4.785 Au
4.665 0.000 0.000 Au
6.756 0.000 3.801 Au


Pm2PdAu (PBE, optimized geometry); density = 7.20 Mg/m³; crystal system = trigonal; N(E_F) = 0.786 states/eV per atom; energy of formation from the pure elements = -211.7 meV/atom; magnetic moment = 0.0 Bohr magnetons per cell
1.0
4.215 0.000 0.000
-2.108 3.651 0.000
0.000 0.000 26.699
Pm Pd Au
6 3 3
Cartesian
0.000 0.000 2.920 Pm
0.000 0.000 23.779 Pm
0.000 2.434 14.879 Pm
0.000 2.434 20.720 Pm
2.108 1.217 5.979 Pm
2.108 1.217 11.820 Pm
0.000 0.000 13.350 Pd
0.000 2.434 4.450 Pd
2.108 1.217 22.249 Pd
0.000 0.000 0.000 Au
0.000 2.434 17.799 Au
2.108 1.217 8.900 Au


PmPd2Au4 (PBE, optimized geometry); density = 14.13 Mg/m³; crystal system = monoclinic; N(E_F) = 0.353 states/eV per atom; energy of formation from the pure elements = -479.8 meV/atom; magnetic moment = 0.0 Bohr magnetons per cell
1.0
8.877 0.000 0.000
0.000 7.040 0.000
-3.299 0.000 4.307
Pm Pd Au
2 4 8
Cartesian
0.000 0.000 0.000 Pm
4.439 3.520 0.000 Pm
-2.471 3.520 3.233 Pd
3.611 0.000 1.074 Pd
1.967 0.000 3.233 Pd
8.049 3.520 1.074 Pd
-0.543 1.397 3.007 Au
-0.543 5.643 3.007 Au
1.683 2.123 1.300 Au
1.683 4.917 1.300 Au
3.895 2.123 3.007 Au
3.895 4.917 3.007 Au
6.121 1.397 1.300 Au
6.121 5.643 1.300 Au


Pm6Pd5Au (PBE, optimized geometry); offset from the most stable computed form = 74 meV per atom; density = 8.43 Mg/m³; crystal system = monoclinic; N(E_F) = 0.621 states/eV per atom; energy of formation from the pure elements = -691.5 meV/atom; magnetic moment = 0.0 Bohr magnetons per cell
1.0
3.654 -6.273 0.000
3.654 6.273 0.000
-2.400 0.000 6.873
Pm Pd Au
6 5 1
Cartesian
-0.010 2.146 5.104 Pm
1.151 0.000 1.706 Pm
-0.010 -2.146 5.104 Pm
4.919 2.146 1.769 Pm
3.758 0.000 5.168 Pm
4.919 -2.146 1.769 Pm
-1.200 0.000 3.437 Pd
3.654 4.154 0.000 Pd
2.454 2.017 3.437 Pd
2.454 -2.017 3.437 Pd
3.654 -4.154 0.000 Pd
3.654 0.000 0.000 Au


Pm3Pd2Au7 (PBE, optimized geometry); density = 12.82 Mg/m³; crystal system = orthorhombic; N(E_F) = 0.567 states/eV per atom; energy of formation from the pure elements = -560.4 meV/atom; magnetic moment = 0.0 Bohr magnetons per cell
1.0
2.134 -15.463 0.000
2.134 15.463 0.000
0.000 0.000 3.976
Pm Pd Au
3 2 7
Cartesian
0.000 0.000 0.000 Pm
2.134 10.005 0.000 Pm
2.134 -10.005 0.000 Pm
2.134 4.246 1.988 Pd
2.134 -4.246 1.988 Pd
2.134 13.013 1.988 Au
2.134 6.888 1.988 Au
2.134 2.306 0.000 Au
2.134 0.000 1.988 Au
2.134 -2.306 0.000 Au
2.134 -6.888 1.988 Au
2.134 -13.013 1.988 Au


Pm2Pd4Au3 (PBE, optimized geometry); offset from the most stable computed form = 34 meV per atom; density = 11.95 Mg/m³; crystal system = orthorhombic; N(E_F) = 0.431 states/eV per atom; energy of formation from the pure elements = -620.4 meV/atom; magnetic moment = 0.0 Bohr magnetons per cell
1.0
2.821 -8.283 0.000
2.821 8.283 0.000
0.000 0.000 7.771
Pm Pd Au
4 8 6
Cartesian
2.821 6.476 7.106 Pm
2.821 1.807 3.221 Pm
2.821 -1.807 4.550 Pm
2.821 -6.476 0.664 Pm
2.821 5.584 4.015 Pd
1.411 1.192 5.828 Pd
1.411 -1.192 1.943 Pd
2.821 2.699 0.130 Pd
2.821 -2.699 7.641 Pd
4.232 1.192 5.828 Pd
4.232 -1.192 1.943 Pd
2.821 -5.584 3.756 Pd
0.000 0.000 3.885 Au
1.411 3.997 5.828 Au
1.411 -3.997 1.943 Au
2.821 0.000 0.000 Au
4.232 3.997 5.828 Au
4.232 -3.997 1.943 Au